## Ba3EuRu2O9 (PBEsol)

Data for crystalline Ba3EuRu2O9 at its relaxed geometry.

Raw total energy, eV/atom: -7.81

Cell and atoms, written as POSCAR:
```
Ba3EuRu2O9
1.0
-2.1422 2.8810 -4.6789
-3.6123 -3.1681 3.4200
-2.3907 11.6533 8.2699
Ba Eu Ru O
6 2 4 18
direct
0.3333 0.6667 0.5984
0.6667 0.3333 0.0984
0.3333 0.6667 0.9016
0.0000 0.0000 0.7500
0.6667 0.3333 0.4016
0.0000 0.0000 0.2500
0.0000 0.0000 0.5000
0.0000 0.0000 0.0000
0.6667 0.3333 0.8344
0.6667 0.3333 0.6656
0.3333 0.6667 0.3344
0.3333 0.6667 0.1656
0.6425 0.8212 0.4087
0.1788 0.8212 0.0913
0.1788 0.3575 0.0913
0.0165 0.5082 0.2500
0.8212 0.6425 0.9087
0.4918 0.5082 0.2500
0.8212 0.1788 0.5913
0.5082 0.4918 0.7500
0.6425 0.8212 0.0913
0.9835 0.4918 0.7500
0.5082 0.0165 0.7500
0.3575 0.1788 0.5913
0.3575 0.1788 0.9087
0.4918 0.9835 0.2500
0.8212 0.1788 0.9087
0.1788 0.3575 0.4087
0.1788 0.8212 0.4087
0.8212 0.6425 0.5913
```

---

## Ba2EuTaO6 (PBEsol)

Data for crystalline Ba2EuTaO6 at its relaxed geometry.

Raw total energy, eV/atom: -8.88

Cell and atoms, written as POSCAR:
```
Ba2EuTaO6
1.0
-0.1631 2.7533 5.3066
-5.1150 -1.9218 -2.5302
-2.8949 -4.6811 2.3397
Eu Ba O Ta
1 2 6 1
direct
0.0000 0.0000 0.0000
0.7500 0.5000 0.7500
0.2500 0.5000 0.2500
0.6922 0.0000 0.7729
0.7729 0.0000 0.3078
0.2271 0.0000 0.6922
0.3078 0.0000 0.2271
0.2668 0.5336 0.7332
0.7332 0.4664 0.2668
0.5000 0.0000 0.5000
```

---

## BaEuS2 (PBEsol)

Data for crystalline BaEuS2 at its relaxed geometry.

Raw total energy, eV/atom: -7.43

Cell and atoms, written as POSCAR:
```
BaEuS2
1.0
-0.3043 4.2262 0.8063
-3.5320 -0.7069 2.3724
3.4752 -0.6972 4.9662
Eu S Ba
1 2 1
direct
0.5000 0.5000 0.5000
0.0000 0.0000 0.5000
0.5000 0.5000 0.0000
0.0000 0.0000 0.0000
```

---

## BaSrEu2 (PBEsol)

Data for crystalline BaSrEu2 at its relaxed geometry.

Energy of formation from the pure elements, eV/atom: 0.0722
Raw total energy, eV/atom: -6.21

Cell and atoms, written as POSCAR:
```
BaSrEu2
1.0
-1.3566 -1.2383 6.1480
-5.5058 -2.9092 1.5476
0.0590 -6.0477 2.1433
Ba Sr Eu
1 1 2
direct
0.5000 0.5000 0.5000
0.0000 0.0000 0.0000
0.2500 0.2500 0.2500
0.7500 0.7500 0.7500
```